Entry from Alexandria via LeMat-Bulk: ReAgHg3 after structural relaxation (GGA-PBE).

abc: 5.311 5.311 5.311
angles: 90.00 90.00 90.00
Atoms (fractional coordinates):
Re1 0.000 0.000 0.000
Ag1 0.500 0.500 0.500
Hg1 0.000 0.000 0.500
Hg2 0.000 0.500 0.000
Hg3 0.500 0.000 0.000

Output
Space group: Pm-3m
Polymorph energy (0 for the lowest one) (meV/atom): 0
V (Å³/f.u.): 150
Density of states at the Fermi level (states/eV/cell): 4.259